Crystalline TiCr2BiF at its relaxed geometry, computed with GGA+U.

abc: 4.215 5.670 4.215
angles: 90.00 90.00 90.00
Each line ends with the local moment (μB).
Atoms (fractional coordinates):
Bi (0.000, 0.500, 0.000)  0.07
F (0.000, 0.000, 0.000)  -0.01
Ti (0.500, 0.500, 0.500)  -0.90
Cr (0.500, 0.000, 0.000)  4.06
Cr (0.000, 0.000, 0.500)  4.30

- N(E_F): 3.087 states/eV/cell
- Crystal system: tetragonal
- E_tot: -5.8499 eV per atom